# 1
Material: LaAlMo2
Method: DFT, PBE-GGA
State: relaxed

abc: 10.314 10.314 10.314
angles: 16.37 16.37 16.37
Positions (direct):
La1 0.000 0.000 0.000
Al1 0.500 0.500 0.500
Mo1 0.239 0.239 0.239
Mo2 0.761 0.761 0.761

Properties
DFT formation energy: 0.55 eV per atom
Space-group type: R-3m, No. 166
Crystal system: trigonal



# 2
Material: TlAsPtSe2
Method: DFT, PBE-GGA
State: relaxed

abc: 5.361 5.361 4.648
angles: 90.00 90.00 90.00
Positions (direct):
Tl1 0.000 0.000 0.000
As1 0.500 0.500 0.000
Pt1 0.500 0.500 0.500
Se1 0.000 0.500 0.500
Se2 0.500 0.000 0.500

Properties
Space-group type: P4/mmm, No. 123
Energy relative to the lowest polymorph listed for this composition: 0 meV per atom
Formation energy without anion corrections: 204.1 meV/atom
Crystal system: tetragonal



# 3
Material: NdY2SnN4
Method: DFT, PBE-GGA
State: relaxed

abc: 6.174 6.174 12.116
angles: 90.00 90.00 146.42
Positions (direct):
Nd1 0.117 0.883 0.750
Nd2 0.883 0.117 0.250
Y1 0.371 0.629 0.535
Y2 0.371 0.629 0.965
Y3 0.629 0.371 0.035
Y4 0.629 0.371 0.465
Sn1 0.146 0.854 0.250
Sn2 0.854 0.146 0.750
N1 0.000 0.000 0.000
N2 0.000 0.000 0.500
N3 0.265 0.735 0.121
N4 0.265 0.735 0.379
N5 0.452 0.548 0.750
N6 0.548 0.452 0.250
N7 0.735 0.265 0.621
N8 0.735 0.265 0.879

Properties
Space-group type: Cmcm, No. 63
Formation energy without anion corrections: -867.6 meV/atom
Crystal system: orthorhombic



# 4
Material: CaPr6HoEr2
Method: DFT, PBE-GGA
State: relaxed

abc: 9.053 9.053 9.796
angles: 93.39 93.39 117.50
Positions (direct):
Ca1 0.027 0.973 0.750
Ca2 0.973 0.027 0.250
Pr1 0.013 0.555 0.682
Pr2 0.124 0.754 0.054
Pr3 0.246 0.876 0.446
Pr4 0.293 0.504 0.881
Pr5 0.445 0.987 0.818
Pr6 0.496 0.707 0.619
Pr7 0.504 0.293 0.381
Pr8 0.555 0.013 0.182
Pr9 0.707 0.496 0.119
Pr10 0.754 0.124 0.554
Pr11 0.876 0.246 0.946
Pr12 0.987 0.445 0.318
Ho1 0.409 0.591 0.250
Ho2 0.591 0.409 0.750
Er1 0.200 0.306 0.547
Er2 0.306 0.200 0.047
Er3 0.694 0.800 0.953
Er4 0.800 0.694 0.453

Properties
DFT formation energy: 0.12 eV per atom
Space-group type: C2/c, No. 15
Crystal system: monoclinic



# 5
Material: SmMgSi2Os
Method: DFT, PBE-GGA
State: relaxed

abc: 6.167 6.167 6.167
angles: 141.65 141.65 55.35
Positions (direct):
Sm1 0.000 0.000 0.000
Mg1 0.250 0.750 0.500
Si1 0.389 0.389 0.000
Si2 0.611 0.611 0.000
Os1 0.750 0.250 0.500

Properties
Space-group type: I-4m2, No. 119
Formation energy without anion corrections: -479.6 meV/atom
Crystal system: tetragonal



# 6
Material: LaNd5Hg2
Method: DFT, PBE-GGA
State: relaxed

abc: 8.500 8.500 8.500
angles: 154.06 101.54 84.30
Positions (direct):
La1 0.000 0.000 0.000
Nd1 0.141 0.361 0.781
Nd2 0.420 0.639 0.781
Nd3 0.500 0.000 0.500
Nd4 0.580 0.361 0.219
Nd5 0.859 0.639 0.219
Hg1 0.232 0.732 0.500
Hg2 0.768 0.268 0.500

Properties
DFT formation energy: -0.17 eV per atom
Space-group type: Immm, No. 71
Crystal system: orthorhombic